First-principles (meta-GGA SCAN) data for a PBEsol-optimized structure of Be2AsP, as listed in the Alexandria database.

Results
Formation energy in kJ/mol of atoms: 45.5
DFT total energy in eV/atom: -9.352
D(E_F) in states/eV per cell: 1.27

Geometry as POSCAR:
```
Be2AsP
1.0
3.329 0.000 0.000
0.000 3.321 0.000
0.000 0.000 4.629
P As Be
1 1 2
direct
0.500 0.500 0.000
0.500 0.000 0.500
0.000 0.000 0.000
0.000 0.500 0.500
```